Material: Rb4P2Se9
Method: DFT, PBE
State: relaxed

## Properties
Space group: C2/c (15)
Energy relative to the elements, uncorrected, meV/atom: -670.8
Calculated total energy, eV/atom: -3.74

POSCAR file:
```
Rb4P2Se9
1.0
4.968 -5.396 0.000
4.968 5.396 0.000
-1.050 0.000 19.676
Rb P Se
8 4 18
Direct
0.063 0.261 0.819
0.214 0.722 0.527
0.261 0.063 0.319
0.278 0.786 0.973
0.722 0.214 0.027
0.739 0.937 0.681
0.786 0.278 0.473
0.937 0.739 0.181
0.224 0.244 0.619
0.244 0.224 0.119
0.756 0.776 0.881
0.776 0.756 0.381
0.001 0.753 0.823
0.027 0.627 0.360
0.225 0.289 0.010
0.247 0.999 0.677
0.289 0.225 0.510
0.373 0.973 0.140
0.397 0.603 0.750
0.454 0.481 0.148
0.481 0.454 0.648
0.519 0.546 0.352
0.546 0.519 0.852
0.603 0.397 0.250
0.627 0.027 0.860
0.711 0.775 0.490
0.753 0.001 0.323
0.775 0.711 0.990
0.973 0.373 0.640
0.999 0.247 0.177
```